Record 1
First-principles (PBE-GGA) data for a relaxed NdSm3Sc6 crystal, as listed in Alexandria.

Cell lengths 6.134, 9.857, 9.857 Å; angles 106.68, 90.00, 90.00 degrees
Atoms (fractional coordinates):
Sc (0.516, 0.547, 0.735)
Sc (0.870, 0.456, 0.980)
Nd (0.696, 0.795, 0.205)
Nd (0.196, 0.205, 0.795)
Sm (0.991, 0.721, 0.878)
Sc (0.653, 0.245, 0.755)
Sc (0.016, 0.735, 0.547)
Sm (0.018, 0.407, 0.593)
Sm (0.491, 0.878, 0.721)
Sc (0.864, 0.054, 0.946)
Sc (0.016, 0.453, 0.265)
Sc (0.370, 0.544, 0.020)
Sc (0.516, 0.265, 0.453)
Sc (0.364, 0.946, 0.054)
Sm (0.991, 0.122, 0.279)
Sc (0.370, 0.980, 0.456)
Sc (0.153, 0.755, 0.245)
Sm (0.491, 0.279, 0.122)
Sm (0.518, 0.593, 0.407)
Sc (0.870, 0.020, 0.544)

Computed properties:
E = -110.20 eV for the cell shown
crystal system = orthorhombic
formation energy from the elements = 0.181 eV/atom


Record 2
First-principles (PBE-GGA) data for a relaxed TbPm2Ho4Sc crystal, as listed in Alexandria.

Cell lengths 9.397, 9.397, 11.684 Å; angles 128.43, 128.43, 88.29 degrees
Atoms (fractional coordinates):
Tb (0.000, 0.500, 0.000)
Ho (0.236, 0.763, 0.000)
Ho (0.737, 0.264, 0.500)
Pm (0.500, 0.000, 0.500)
Pm (0.500, 0.500, 0.000)
Ho (0.263, 0.736, 0.500)
Ho (0.751, 0.750, 0.516)
Pm (0.500, 0.000, 0.000)
Ho (0.250, 0.251, 0.016)
Ho (0.764, 0.237, 0.000)
Sc (0.500, 0.500, 0.500)
Sc (0.000, 0.000, 0.000)
Ho (0.249, 0.250, 0.484)
Pm (0.000, 0.000, 0.500)
Ho (0.750, 0.749, 0.984)
Tb (0.000, 0.500, 0.500)

Computed properties:
E = -70.69 eV for the cell shown
crystal system = orthorhombic
formation energy from the elements = 0.429 eV/atom


Record 3
First-principles (PBE-GGA) data for a relaxed KFeNi3 crystal, as listed in Alexandria.

Cell lengths 4.510, 4.510, 4.510 Å; angles 90.00, 90.00, 90.00 degrees
Atoms (fractional coordinates):
Ni (0.500, 0.000, 0.000)
Fe (0.000, 0.000, 0.000)
K (0.500, 0.500, 0.500)
Ni (0.000, 0.500, 0.000)
Ni (0.000, 0.000, 0.500)

Computed properties:
E = -22.50 eV for the cell shown
crystal system = cubic
formation energy from the elements = 0.880 eV/atom


Number 1: magnetic moment 0.00 μB per cell. Number 2: magnetic moment 4.84 μB per cell. Number 3: magnetic moment 4.76 μB per cell.